# 1
DFT (GGA-PBE) results for a relaxed Cu4RePt5 crystal.

Computed properties:
- crystal system = tetragonal
- energy of formation (meV per atom) = -152

Cell lengths 2.7772, 2.7772, 18.3676 Å; angles 90.00, 90.00, 90.00 degrees
Last column: nearest neighbours and their distance in Å.
Sites, in units of the cell vectors:
1 Cu 0.0000 0.0000 0.0982  8 Pt 2.67, 4 Cu 2.78
2 Cu 0.0000 0.0000 0.2941  8 Pt 2.66-2.72, 4 Cu 2.78
3 Cu 0.0000 0.0000 0.7059  8 Pt 2.66-2.72, 4 Cu 2.78
4 Cu 0.0000 0.0000 0.9018  8 Pt 2.67, 4 Cu 2.78
5 Re 0.0000 0.0000 0.5000  8 Pt 2.74, 4 Re 2.78
6 Pt 0.5000 0.5000 0.0000  8 Cu 2.67, 4 Pt 2.78
7 Pt 0.5000 0.5000 0.1967  8 Cu 2.66-2.67, 4 Pt 2.78
8 Pt 0.5000 0.5000 0.3963  4 Cu 2.72, 4 Re 2.74, 4 Pt 2.78
9 Pt 0.5000 0.5000 0.6037  4 Cu 2.72, 4 Re 2.74, 4 Pt 2.78
10 Pt 0.5000 0.5000 0.8033  8 Cu 2.66-2.67, 4 Pt 2.78

# 2
DFT (GGA-PBE) results for a relaxed ScCoP2H crystal.

Computed properties:
- crystal system = tetragonal
- total energy (Ha/atom) = -0.2037

Cell lengths 4.0457, 4.0457, 3.6033 Å; angles 90.00, 90.00, 90.00 degrees
Last column: nearest neighbours and their distance in Å.
Sites, in units of the cell vectors:
1 Sc 0.0000 0.0000 0.0000  2 H 1.80
2 Co 0.5000 0.5000 0.0000  8 P 2.71, 4 Sc 2.86
3 P 0.0000 0.5000 0.5000  2 H 2.02
4 P 0.5000 0.0000 0.5000  2 H 2.02
5 H 0.0000 0.0000 0.5000  2 Sc 1.80